DFT (GGA-PBE) results for a relaxed structure of AcTb2In2Ag2.

Output
Space group: R-3m
Total moment (μB/f.u.): 0.00
Formation energy from the elements (eV per atom): -0.32
Density (g/cm³): 8.36

a = 4.931 Å, b = 4.931 Å, c = 9.765 Å
α = 75.37°, β = 75.37°, γ = 60.00°
Positions (direct):
1 Ac 0.000 0.000 0.000
2 Tb 0.870 0.870 0.389
3 Ag 0.416 0.416 0.751
4 In 0.253 0.253 0.242
5 Ag 0.584 0.584 0.249
6 In 0.747 0.747 0.758
7 Tb 0.130 0.130 0.611